1.
Computed, not measured: a relaxed Ga2Os2F crystal at the PBE level of DFT.

The offset from the most stable computed form is 0.000 eV/atom.

The space group is I4/mmm (No. 139) and the conventional cell measures 5.0259, 5.0259 and 6.7597 Å, with angles of 90.00, 90.00 and 90.00 degrees. The inequivalent atoms are Ga at (0.0000, 0.5000, 0.2500), Os at (0.0000, 0.0000, 0.1667) and F at (0.0000, 0.0000, 0.5000).

2.
Computed, not measured: a relaxed La6IrPd2 crystal at the PBE level of DFT.

Its formation energy is -566 meV/atom.

The space group is P2_1/c (No. 14) and the conventional cell measures 6.9516, 7.6491 and 12.4131 Å, with angles of 90.00, 120.14 and 90.00 degrees. The inequivalent atoms are La at (0.0941, 0.0471, 0.2518), La at (0.2443, 0.6779, 0.0757), La at (0.3964, 0.1832, 0.0685), Ir at (0.0000, 0.0000, 0.0000) and Pd at (0.3300, 0.1145, 0.7731).

3.
Computed, not measured: a relaxed Eu2MgRu crystal at the PBE level of DFT.

Its formation energy is 49 meV/atom.

The space group is P4/mmm (No. 123) and the conventional cell measures 3.4788, 3.4788 and 8.6672 Å, with angles of 90.00, 90.00 and 90.00 degrees. The inequivalent atoms are Eu at (0.0000, 0.0000, 0.2004), Mg at (0.5000, 0.5000, 0.5000) and Ru at (0.5000, 0.5000, 0.0000).

4.
Computed, not measured: a relaxed Na12Br3Cl5 crystal at the PBE level of DFT.

The space group is Ia-3d (No. 230) and the conventional cell measures 17.4519, 17.4519 and 17.4519 Å, with angles of 90.00, 90.00 and 90.00 degrees. The inequivalent atoms are Na at (0.0198, 0.0602, 0.6532), Br at (0.0000, 0.2500, 0.1250), Cl at (0.0000, 0.0000, 0.0000) and Cl at (0.0000, 0.2500, 0.3750).

no.,E_tot (eV/atom)
1,-6.01
2,-5.99
3,-7.81
4,-2.66